[1]
! PrBePt, optimized geometry, DFT PBE; values from VASP
&SYSTEM
  ibrav = 0, nat = 12, ntyp = 3
/
ATOMIC_SPECIES
Pr 140.91 Pr.upf
Be 9.01 Be.upf
Pt 195.08 Pt.upf
ATOMIC_POSITIONS crystal
Pr 0.118 0.118 0.118
Pr 0.382 0.882 0.618
Pr 0.618 0.382 0.882
Pr 0.882 0.618 0.382
Be 0.091 0.591 0.909
Be 0.409 0.409 0.409
Be 0.591 0.909 0.091
Be 0.909 0.091 0.591
Pt 0.173 0.327 0.673
Pt 0.327 0.673 0.173
Pt 0.673 0.173 0.327
Pt 0.827 0.827 0.827
CELL_PARAMETERS angstrom
6.229 0.000 0.000
0.000 6.229 0.000
0.000 0.000 6.229
! Fermi-level density of states = 3.30 states/eV/f.u.
! ΔE_f = -202 kJ/mol of formula units
! Excess energy over the best structure of this formula in the dataset = 51.7 meV per atom
! Symmetry = No. 198
! E = -5.545 eV/atom



[2]
! Y3BiC, optimized geometry, DFT PBE; values from VASP
&SYSTEM
  ibrav = 0, nat = 10, ntyp = 3
/
ATOMIC_SPECIES
Y 88.91 Y.upf
Bi 208.98 Bi.upf
C 12.01 C.upf
ATOMIC_POSITIONS crystal
Y 0.132 0.132 0.000
Y 0.373 0.620 0.752
Y 0.380 0.132 0.752
Y 0.380 0.627 0.248
Y 0.868 0.620 0.248
Y 0.868 0.868 0.000
Bi 0.609 0.109 0.500
Bi 0.891 0.391 0.500
C 0.250 0.750 0.500
C 0.500 0.500 0.000
CELL_PARAMETERS angstrom
-3.332 3.332 6.391
3.332 -3.332 6.391
3.332 3.332 -6.391
! Fermi-level density of states = 4.45 states/eV/f.u.
! ΔE_f = 25 kJ/mol of formula units
! Excess energy over the best structure of this formula in the dataset = 627.8 meV per atom
! Symmetry = No. 119
! E = -6.447 eV/atom



[3]
! MnBe2In, optimized geometry, DFT PBE; values from VASP
&SYSTEM
  ibrav = 0, nat = 4, ntyp = 3
/
ATOMIC_SPECIES
Mn 54.94 Mn.upf
Be 9.01 Be.upf
In 114.82 In.upf
ATOMIC_POSITIONS crystal
Mn 0.000 0.000 0.000
Be 0.496 0.500 0.817
Be 0.504 0.500 0.183
In 0.500 0.000 0.500
CELL_PARAMETERS angstrom
2.743 0.000 0.000
0.000 3.581 0.000
-0.016 0.000 5.398
! Fermi-level density of states = 2.09 states/eV/f.u.
! ΔE_f = 112 kJ/mol of formula units
! Symmetry = No. 10
! E = -4.551 eV/atom



[4]
! LaRh, optimized geometry, DFT PBE; values from VASP
&SYSTEM
  ibrav = 0, nat = 4, ntyp = 2
/
ATOMIC_SPECIES
La 138.91 La.upf
Rh 102.91 Rh.upf
ATOMIC_POSITIONS crystal
La 0.333 0.667 0.250
La 0.667 0.333 0.750
Rh 0.333 0.667 0.750
Rh 0.667 0.333 0.250
CELL_PARAMETERS angstrom
4.816 0.000 0.000
-2.408 4.171 0.000
0.000 0.000 5.956
! Fermi-level density of states = 0.78 states/eV/f.u.
! ΔE_f = -70 kJ/mol of formula units
! Symmetry = No. 194
! E = -6.500 eV/atom